# 1
Here is a geometry-optimized Zr3PdI structure from Alexandria. Energies are from PBE-GGA.

As for the total magnetization: 0.2 μB/f.u. As for the density of states at the Fermi level: 10.9 states/eV/f.u. The value obtained for the raw formation energy is 201 kJ/mol of formula units.

It has space group Pm-3m (No. 221), with a = 5.153 Å, b = 5.153 Å, c = 5.153 Å, α = 90.00°, β = 90.00° and γ = 90.00°. Symmetry generates all atoms from Zr at (0.000, 0.000, 0.500), Pd at (0.000, 0.000, 0.000) and I at (0.500, 0.500, 0.500).

---

# 2
Here is a geometry-optimized Pm3I7 structure from Alexandria. Energies are from PBE-GGA.

As for the total magnetization: 0.0 μB/f.u. As for the density of states at the Fermi level: 2.4 states/eV/f.u. The value obtained for the raw formation energy is -1144 kJ/mol of formula units.

It has space group P6_3mc (No. 186), with a = 10.5196 Å, b = 10.5196 Å, c = 7.5307 Å, α = 90.00°, β = 90.00° and γ = 120.00°. Symmetry generates all atoms from Pm at (0.2060, 0.4119, 0.0000), I at (0.0823, 0.5412, 0.7042), I at (0.1240, 0.2480, 0.3767) and I at (0.3333, 0.6667, 0.2754).

---

# 3
Here is a geometry-optimized Pm2I5 structure from Alexandria. Energies are from PBE-GGA.

As for the total magnetization: 1.0 μB/f.u. As for the density of states at the Fermi level: 4.5 states/eV/f.u. The value obtained for the raw formation energy is -820 kJ/mol of formula units.

It has space group C2/c (No. 15), with a = 18.410 Å, b = 7.397 Å, c = 7.935 Å, α = 90.00°, β = 98.05° and γ = 90.00°. Symmetry generates all atoms from Pm at (0.120, 0.209, 0.093), I at (0.000, 0.058, 0.750), I at (0.093, 0.411, 0.423) and I at (0.214, 0.102, 0.804).

---

# 4
Here is a geometry-optimized Pm4I structure from Alexandria. Energies are from PBE-GGA.

As for the total magnetization: 0.0 μB/f.u. As for the density of states at the Fermi level: 5.6 states/eV/f.u. The value obtained for the raw formation energy is 25 kJ/mol of formula units.

It has space group Pm-3m (No. 221), with a = 5.826 Å, b = 5.826 Å, c = 5.826 Å, α = 90.00°, β = 90.00° and γ = 90.00°. Symmetry generates all atoms from Pm at (0.000, 0.000, 0.000), Pm at (0.000, 0.500, 0.500) and I at (0.500, 0.500, 0.500).

---

> Which value of raw formation energy does entry 3 give?

-820 kJ/mol of formula units